MnSi2Ru: optimized geometry, GGA-PBE.

abc: 2.7715 4.3868 4.1313
angles: 90.00 90.00 90.00
Closest atoms and distances in Å follow each position.
Fractional coordinates of all 4 atoms:
Mn  0.0000  0.0000  0.0000  6 Si 2.44-2.53
Si  0.0000  0.5000  0.2937  4 Ru 2.47-2.50, 2 Mn 2.51, 4 Si 2.71
Si  0.5000  0.0000  0.4869  4 Mn 2.44-2.53, 2 Ru 2.52, 4 Si 2.71
Ru  0.5000  0.5000  0.7887  6 Si 2.47-2.52, 4 Mn 2.74

Values from the calculation:
The final energy comes out at -7.642 eV per atom. Its space group is No. 25. Its uncorrected formation energy is -0.32 eV/atom.

=====

CuAs2F2: optimized geometry, GGA-PBE.

abc: 6.7161 6.7161 6.7161
angles: 151.19 151.19 41.19
Closest atoms and distances in Å follow each position.
Fractional coordinates of all 5 atoms:
Cu  0.0000  0.0000  0.0000  8 As 2.79
As  0.3822  0.3822  0.0000  4 F 2.36
As  0.6178  0.6178  0.0000  4 F 2.36
F  0.2500  0.7500  0.5000  4 As 2.36, 4 F 2.36
F  0.7500  0.2500  0.5000  4 As 2.36, 4 F 2.36

Values from the calculation:
The final energy comes out at -3.808 eV per atom. Its space group is No. 139. The excess energy over the best structure of this formula in the dataset is 515 meV per atom. Its uncorrected formation energy is -0.38 eV/atom.

=====

Ho12Co6Si: optimized geometry, GGA-PBE.

abc: 8.2509 8.2509 8.2509
angles: 109.47 109.47 109.47
Closest atoms and distances in Å follow each position.
Fractional coordinates of all 19 atoms:
Ho  0.1058  0.2996  0.8062  3 Co 2.64-2.87
Ho  0.1938  0.4934  0.2996  3 Co 2.64-2.87
Ho  0.1938  0.8942  0.7004  3 Co 2.64-2.87
Ho  0.2996  0.1938  0.4934  3 Co 2.64-2.87
Ho  0.2996  0.8062  0.1058  3 Co 2.64-2.87
Ho  0.4934  0.2996  0.1938  3 Co 2.64-2.87
Ho  0.5066  0.7004  0.8062  3 Co 2.64-2.87
Ho  0.7004  0.1938  0.8942  3 Co 2.64-2.87
Ho  0.7004  0.8062  0.5066  3 Co 2.64-2.87
Ho  0.8062  0.1058  0.2996  3 Co 2.64-2.87
Ho  0.8062  0.5066  0.7004  3 Co 2.64-2.87
Ho  0.8942  0.7004  0.1938  3 Co 2.64-2.87
Co  0.1143  0.5000  0.6143  1 Co 2.18
Co  0.3857  0.8857  0.5000  1 Co 2.18
Co  0.5000  0.3857  0.8857  1 Co 2.18
Co  0.5000  0.6143  0.1143  1 Co 2.18
Co  0.6143  0.1143  0.5000  1 Co 2.18
Co  0.8857  0.5000  0.3857  1 Co 2.18
Si  0.0000  0.0000  0.0000  12 Ho 3.40

Values from the calculation:
The final energy comes out at -5.679 eV per atom. Its space group is No. 204. Its uncorrected formation energy is -0.26 eV/atom.

=====

RbIr3Os: optimized geometry, GGA-PBE.

abc: 4.8564 4.8564 4.8564
angles: 90.00 90.00 90.00
Closest atoms and distances in Å follow each position.
Fractional coordinates of all 5 atoms:
Rb  0.0000  0.0000  0.0000  12 Ir 3.43
Ir  0.0000  0.5000  0.5000  2 Os 2.43
Ir  0.5000  0.0000  0.5000  2 Os 2.43
Ir  0.5000  0.5000  0.0000  2 Os 2.43
Os  0.5000  0.5000  0.5000  6 Ir 2.43

Values from the calculation:
The final energy comes out at -6.307 eV per atom. Its space group is No. 221. The excess energy over the best structure of this formula in the dataset is 0 meV per atom. For the formation energy, the calculation gives 1.449 eV per atom.

=====

Tc2RuCl: optimized geometry, GGA-PBE.

abc: 8.6291 8.6291 8.6291
angles: 18.88 18.88 18.88
Closest atoms and distances in Å follow each position.
Fractional coordinates of all 4 atoms:
Tc  0.0000  0.0000  0.0000  3 Ru 2.64, 9 Tc 2.72-2.83
Tc  0.2476  0.2476  0.2476  3 Cl 2.57, 9 Tc 2.72-2.83
Ru  0.7485  0.7485  0.7485  3 Tc 2.64, 3 Cl 2.77, 6 Ru 2.83
Cl  0.5031  0.5031  0.5031  3 Tc 2.57, 3 Ru 2.77, 6 Cl 2.83

Values from the calculation:
The final energy comes out at -7.682 eV per atom. Its space group is No. 160. The excess energy over the best structure of this formula in the dataset is 0 meV per atom. Its uncorrected formation energy is 0.28 eV/atom.

=====

SmTmSbSe: optimized geometry, GGA-PBE.

abc: 4.2892 4.2892 5.9916
angles: 90.00 90.00 90.00
Closest atoms and distances in Å follow each position.
Fractional coordinates of all 4 atoms:
Sm  0.0000  0.0000  0.0000  2 Se 2.99-3.00, 4 Sb 3.03
Tm  0.5000  0.5000  0.4990  2 Sb 3.00, 4 Se 3.03
Sb  0.5000  0.5000  0.9990  2 Tm 3.00, 4 Sm 3.03
Se  0.0000  0.0000  0.4998  2 Sm 2.99-3.00, 4 Tm 3.03

Values from the calculation:
The final energy comes out at -5.589 eV per atom. Its space group is No. 99. Its uncorrected formation energy is -1.39 eV/atom.

=====

TbNd3Ho6: optimized geometry, GGA-PBE.

abc: 10.9206 10.9206 6.3350
angles: 90.00 90.00 119.72
Closest atoms and distances in Å follow each position.
Fractional coordinates of all 20 atoms:
Tb  0.1959  0.8041  0.5000  2 Nd 3.25, 7 Ho 3.30-3.58
Tb  0.8041  0.1959  0.0000  2 Nd 3.25, 7 Ho 3.30-3.58
Nd  0.0628  0.2890  0.6693  1 Tb 3.25, 6 Ho 3.30-3.52, 1 Nd 3.62
Nd  0.2890  0.0628  0.1693  1 Tb 3.25, 6 Ho 3.30-3.52, 1 Nd 3.62
Nd  0.3882  0.6118  0.5624  7 Ho 3.45-3.75, 2 Nd 3.62, 1 Tb 3.65
Nd  0.6118  0.3882  0.0624  7 Ho 3.45-3.75, 2 Nd 3.62, 1 Tb 3.65
Nd  0.7110  0.9372  0.6693  1 Tb 3.25, 6 Ho 3.30-3.52, 1 Nd 3.62
Nd  0.9372  0.7110  0.1693  1 Tb 3.25, 6 Ho 3.30-3.52, 1 Nd 3.62
Ho  0.0396  0.9604  0.7587  1 Tb 3.38, 2 Ho 3.50, 4 Nd 3.52
Ho  0.0497  0.4693  0.2608  5 Ho 3.19-3.52, 2 Nd 3.30-3.47, 2 Tb 3.30-3.52
Ho  0.2724  0.7276  0.9834  4 Ho 3.19-3.39, 1 Tb 3.39, 1 Nd 3.45
Ho  0.2873  0.3789  0.0859  4 Ho 3.39-3.66, 4 Nd 3.40-3.74
Ho  0.3789  0.2873  0.5859  4 Ho 3.39-3.66, 4 Nd 3.40-3.74
Ho  0.4693  0.0497  0.7608  5 Ho 3.19-3.52, 2 Nd 3.30-3.47, 2 Tb 3.30-3.52
Ho  0.5307  0.9503  0.2608  5 Ho 3.19-3.52, 2 Nd 3.30-3.47, 2 Tb 3.30-3.52
Ho  0.6211  0.7127  0.0859  4 Ho 3.39-3.66, 4 Nd 3.40-3.74
Ho  0.7127  0.6211  0.5859  4 Ho 3.39-3.66, 4 Nd 3.40-3.74
Ho  0.7276  0.2724  0.4834  4 Ho 3.19-3.39, 1 Tb 3.39, 1 Nd 3.45
Ho  0.9503  0.5307  0.7608  5 Ho 3.19-3.52, 2 Nd 3.30-3.47, 2 Tb 3.30-3.52
Ho  0.9604  0.0396  0.2587  1 Tb 3.38, 2 Ho 3.50, 4 Nd 3.52

Values from the calculation:
The final energy comes out at -4.491 eV per atom. Its space group is No. 36. The excess energy over the best structure of this formula in the dataset is 0 meV per atom. For the formation energy, the calculation gives 0.149 eV per atom.

=====

MgCdAsF2: optimized geometry, GGA-PBE.

abc: 4.1415 4.1415 7.8956
angles: 90.00 90.00 90.00
Closest atoms and distances in Å follow each position.
Fractional coordinates of all 5 atoms:
Mg  0.0000  0.0000  0.0000  4 As 2.93
Cd  0.0000  0.0000  0.5000  4 F 2.07
As  0.5000  0.5000  0.0000  4 Mg 2.93
F  0.0000  0.5000  0.5000  2 Cd 2.07
F  0.5000  0.0000  0.5000  2 Cd 2.07

Values from the calculation:
The final energy comes out at -3.113 eV per atom. Its space group is No. 123. Its uncorrected formation energy is -0.93 eV/atom.

=====

UNi7As2P2: optimized geometry, GGA-PBE.

abc: 3.7527 3.7527 12.0990
angles: 93.02 93.02 88.98
Closest atoms and distances in Å follow each position.
Fractional coordinates of all 12 atoms:
U  0.0000  0.0000  0.0000  4 Ni 2.63-2.68
Ni  0.1438  0.6536  0.2682  2 P 2.21-2.22, 2 As 2.43-2.45
Ni  0.3402  0.3402  0.5803  2 As 2.32-2.57, 2 Ni 2.60
Ni  0.3464  0.8562  0.7318  2 P 2.21-2.22, 2 As 2.43-2.45
Ni  0.5000  0.5000  0.0000  2 P 2.13
Ni  0.6536  0.1438  0.2682  2 P 2.21-2.22, 2 As 2.43-2.45
Ni  0.6598  0.6598  0.4197  2 As 2.32-2.57, 2 Ni 2.60
Ni  0.8562  0.3464  0.7318  2 P 2.21-2.22, 2 As 2.43-2.45
As  0.1780  0.1780  0.3971  6 Ni 2.32-2.57
As  0.8220  0.8220  0.6029  6 Ni 2.32-2.57
P  0.3739  0.3739  0.8293  5 Ni 2.13-2.22
P  0.6261  0.6261  0.1707  5 Ni 2.13-2.22

Values from the calculation:
The final energy comes out at -6.304 eV per atom. Its space group is No. 12. For the formation energy, the calculation gives -0.314 eV per atom.

=====

RbFeMo2Os: optimized geometry, GGA-PBE.

abc: 4.6848 4.6848 4.6207
angles: 90.00 90.00 90.00
Closest atoms and distances in Å follow each position.
Fractional coordinates of all 5 atoms:
Rb  0.0000  0.0000  0.0000  8 Mo 3.29, 4 Os 3.31
Fe  0.5000  0.5000  0.5000  2 Os 2.31, 4 Mo 2.34
Mo  0.0000  0.5000  0.5000  2 Fe 2.34
Mo  0.5000  0.0000  0.5000  2 Fe 2.34
Os  0.5000  0.5000  0.0000  2 Fe 2.31

Values from the calculation:
The final energy comes out at -6.750 eV per atom. Its space group is No. 123. For the formation energy, the calculation gives 1.715 eV per atom.